Material: Li2Mn2NiO6
Method: DFT, PBE+U
State: relaxed

Values from the calculation:
* spin magnetization: 0.7273 μB/atom
* total DFT energy (no corrections): -6.170 eV per atom
* volume: 10.33 A^3/atom
* calculated density: 4.07 g/cm3

abc: 5.052 5.059 10.263
angles: 90.00 90.01 60.04
Atoms (fractional coordinates):
O: 0.142 0.361 0.605
O: 0.649 0.000 0.100
O: 0.503 0.639 0.605
O: 0.851 0.000 0.600
O: 0.358 0.639 0.105
O: 0.497 0.361 0.395
O: 0.642 0.361 0.895
O: 0.003 0.639 0.895
O: 0.149 0.000 0.400
O: 0.858 0.639 0.395
O: 0.997 0.361 0.105
O: 0.351 0.000 0.900
Li: 0.170 0.500 0.250
Li: 0.330 0.500 0.750
Li: 0.830 0.500 0.750
Li: 0.670 0.500 0.250
Ni: 0.500 0.000 0.500
Ni: 0.000 0.000 0.000
Mn: 0.663 0.674 0.000
Mn: 0.337 0.326 0.000
Mn: 0.837 0.326 0.500
Mn: 0.163 0.674 0.500